This record from Alexandria describes an optimized crystal structure of AcLa14Pu. The functional is PBE.

Cell: 10.4495 7.4440 7.4440 Å, 90.01 90.00 90.00°
Sites, in units of the cell vectors:
1 Ac 0.0000 0.0000 0.0000
2 La 0.0000 0.5002 0.9985
3 La 0.0000 0.9985 0.5002
4 La 0.2464 0.2562 0.7425
5 La 0.2460 0.2568 0.2568
6 La 0.2464 0.7423 0.7423
7 La 0.2464 0.7425 0.2562
8 La 0.5000 0.0001 0.4985
9 La 0.5000 0.4985 0.0001
10 La 0.5000 0.5002 0.5002
11 La 0.5000 0.9987 0.9987
12 La 0.7536 0.2562 0.7425
13 La 0.7540 0.2568 0.2568
14 La 0.7536 0.7423 0.7423
15 La 0.7536 0.7425 0.2562
16 Pu 0.0000 0.4989 0.4989

Computed properties:
Magnetic moment: 6.79 μB/cell
Uncorrected energy: -5.43 eV/atom

---

This record from Alexandria describes an optimized crystal structure of Dy3Er5Co2. The functional is PBE.

Cell: 9.6546 9.6546 9.6546 Å, 117.21 81.63 133.50°
Sites, in units of the cell vectors:
1 Dy 0.1240 0.7419 0.8659
2 Dy 0.2500 0.2500 0.0000
3 Dy 0.3760 0.2419 0.6179
4 Dy 0.6240 0.7581 0.3821
5 Dy 0.7500 0.7500 0.0000
6 Dy 0.8760 0.2581 0.1341
7 Er 0.0032 0.7500 0.2532
8 Er 0.1243 0.2579 0.3822
9 Er 0.2500 0.7500 0.5000
10 Er 0.3757 0.7579 0.1335
11 Er 0.4968 0.7500 0.7468
12 Er 0.5032 0.2500 0.2532
13 Er 0.6243 0.2421 0.8665
14 Er 0.7500 0.2500 0.5000
15 Er 0.8757 0.7421 0.6178
16 Er 0.9968 0.2500 0.7468
17 Co 0.1309 0.0003 0.1311
18 Co 0.3691 0.5003 0.8694
19 Co 0.6309 0.4997 0.1306
20 Co 0.8691 0.9997 0.8689

Computed properties:
Magnetic moment: 0.00 μB/cell
Uncorrected energy: -5.12 eV/atom

---

This record from Alexandria describes an optimized crystal structure of HoCd4Ag. The functional is PBE.

Cell: 4.9201 5.0870 6.2908 Å, 98.30 90.09 118.88°
Sites, in units of the cell vectors:
1 Ho 0.0000 0.0000 0.0000
2 Cd 0.3070 0.6153 0.7427
3 Cd 0.3670 0.7333 0.2579
4 Cd 0.6330 0.2667 0.7421
5 Cd 0.6930 0.3847 0.2573
6 Ag 0.0000 0.0000 0.5000

Computed properties:
Magnetic moment: 0.00 μB/cell
Uncorrected energy: -2.02 eV/atom
Relative energy among the computed polymorphs: 0.000 eV per atom

---

This record from Alexandria describes an optimized crystal structure of LiCaMn2. The functional is PBE.

Cell: 5.7040 5.7040 4.7656 Å, 114.53 114.53 33.04°
Sites, in units of the cell vectors:
1 Li 0.0000 0.0000 0.0000
2 Ca 0.5000 0.5000 0.5000
3 Mn 0.2722 0.2722 0.7724
4 Mn 0.7278 0.7278 0.2276

Computed properties:
Magnetic moment: 6.93 μB/cell
Uncorrected energy: -5.02 eV/atom
Relative energy among the computed polymorphs: 0.217 eV per atom

---

This record from Alexandria describes an optimized crystal structure of CrP2Ir. The functional is PBE.

Cell: 4.1309 4.1309 4.1309 Å, 60.00 60.00 60.00°
Sites, in units of the cell vectors:
1 Cr 0.0000 0.0000 0.0000
2 P 0.2500 0.2500 0.2500
3 P 0.7500 0.7500 0.7500
4 Ir 0.5000 0.5000 0.5000

Computed properties:
Magnetic moment: 0.00 μB/cell
Uncorrected energy: -7.46 eV/atom
Relative energy among the computed polymorphs: 0.200 eV per atom

---

This record from Alexandria describes an optimized crystal structure of RbHgAsIr. The functional is PBE.

Cell: 4.1344 4.1344 13.2669 Å, 90.00 90.00 90.00°
Sites, in units of the cell vectors:
1 Rb 0.2500 0.2500 0.2439
2 Rb 0.7500 0.7500 0.7561
3 Hg 0.2500 0.7500 0.0000
4 Hg 0.7500 0.2500 0.0000
5 As 0.2500 0.2500 0.6037
6 As 0.7500 0.7500 0.3963
7 Ir 0.2500 0.7500 0.5000
8 Ir 0.7500 0.2500 0.5000

Computed properties:
Magnetic moment: 0.00 μB/cell
Uncorrected energy: -4.03 eV/atom

---

- Look up the magnetic moment of the sixth one.
  0.00 μB/cell